Entry 1:
# As2ClF, optimized geometry, DFT PBE-GGA
# Density of states at the Fermi level: 0.10 states/eV/cell
# Total moment: 0.00 μB/cell
# Volume: 148.9 Å³ per cell
# Uncorrected energy: -3.638 eV per atom
# E_form (uncorrected): -0.38 eV per atom
# Offset from the most stable computed form: 0.0 kJ per mole of atoms
data_As2ClF
_cell_length_a 4.164
_cell_length_b 4.164
_cell_length_c 9.076
_cell_angle_alpha 76.74
_cell_angle_beta 76.74
_cell_angle_gamma 90.00
_symmetry_space_group_name_H-M 'P 1'
_symmetry_Int_Tables_number 1
loop_
_symmetry_equiv_pos_as_xyz
'x,y,z'
loop_
_atom_site_label
_atom_site_fract_x
_atom_site_fract_y
_atom_site_fract_z
As1 0.566 0.125 0.250
As2 0.184 0.625 0.250
As3 0.375 0.434 0.750
As4 0.875 0.816 0.750
F1 0.500 0.500 0.000
F2 0.250 0.750 0.500
Cl1 0.000 0.000 0.000
Cl2 0.750 0.250 0.500

---

Entry 2:
# AsCl3F, optimized geometry, DFT PBE-GGA
# Density of states at the Fermi level: 7.38 states/eV/cell
# Total moment: 0.68 μB/cell
# Volume: 253.2 Å³ per cell
# Uncorrected energy: -3.152 eV per atom
# E_form (uncorrected): -0.74 eV per atom
# Offset from the most stable computed form: 0.0 kJ per mole of atoms
data_AsCl3F
_cell_length_a 3.562
_cell_length_b 8.429
_cell_length_c 8.433
_cell_angle_alpha 90.00
_cell_angle_beta 90.00
_cell_angle_gamma 90.00
_symmetry_space_group_name_H-M 'P 1'
_symmetry_Int_Tables_number 1
loop_
_symmetry_equiv_pos_as_xyz
'x,y,z'
loop_
_atom_site_label
_atom_site_fract_x
_atom_site_fract_y
_atom_site_fract_z
As1 0.500 0.258 0.750
As2 0.500 0.742 0.250
Cl1 0.000 0.267 0.955
Cl2 0.000 0.733 0.045
Cl3 0.000 0.267 0.545
Cl4 0.000 0.733 0.455
Cl5 0.500 0.982 0.750
Cl6 0.500 0.018 0.250
F1 0.500 0.473 0.750
F2 0.500 0.527 0.250